1.
The following is a DFT calculation (PBE) of crystalline TaCrIn at its relaxed geometry.

Cell lengths 7.1499, 6.9064, 2.9361 Å; angles 82.64, 73.33, 24.03 degrees
Element x y z (fractional)
In 0.3404 0.3404 0.6596
Ta 0.6499 0.6499 0.3501
Cr 0.0097 0.0097 0.9903

ΔE_f	0.340	eV per atom
VASP energy	-7.731	eV/atom
crystal system	orthorhombic
calculated volume	17.7	A^3/atom


2.
The following is a DFT calculation (PBE) of crystalline Er4FeS7 at its relaxed geometry.

Cell lengths 6.4375, 6.4375, 11.3302 Å; angles 75.97, 75.97, 33.96 degrees
Element x y z (fractional)
S 0.0331 0.0331 0.2279
Er 0.1113 0.1113 0.5633
S 0.4904 0.4904 0.4927
Fe 0.8905 0.8905 0.4253
S 0.7446 0.7446 0.6365
Er 0.3048 0.3048 0.8000
S 0.2715 0.2715 0.3545
S 0.9630 0.9630 0.7838
Er 0.6948 0.6948 0.2091
Er 0.9991 0.9991 0.0066
S 0.3374 0.3374 0.0527
S 0.6595 0.6595 0.9477

VASP energy	-6.342	eV/atom
crystal system	monoclinic
calculated volume	21.1	A^3/atom
raw formation energy	-1.708	eV per atom


3.
The following is a DFT calculation (PBE) of crystalline ErNi6P4 at its relaxed geometry.

Cell lengths 3.6037, 6.6046, 6.6046 Å; angles 120.00, 90.00, 90.00 degrees
Element x y z (fractional)
Ni 0.5000 0.5960 0.7980
P 0.0000 0.3333 0.6667
Ni 0.0000 0.5363 0.4637
P 0.5000 0.3775 0.1888
Ni 0.0000 0.9274 0.4637
Ni 0.0000 0.5363 0.0726
Er 0.0000 0.0000 0.0000
Ni 0.5000 0.2020 0.7980
P 0.5000 0.8112 0.6225
P 0.5000 0.8112 0.1888
Ni 0.5000 0.2020 0.4040

ΔE_f	-0.691	eV per atom
VASP energy	-6.227	eV/atom
crystal system	hexagonal
calculated volume	12.4	A^3/atom


4.
The following is a DFT calculation (PBE) of crystalline CuTe3Cl at its relaxed geometry.

Cell lengths 9.5815, 7.8331, 7.8331 Å; angles 47.05, 52.29, 52.29 degrees
Element x y z (fractional)
Te 0.2492 0.3583 0.5937
Te 0.6354 0.1496 0.3504
Cl 0.8715 0.6476 0.8524
Cl 0.1285 0.1476 0.3524
Te 0.7508 0.4063 0.6417
Te 0.7011 0.9063 0.1417
Te 0.3646 0.6496 0.8504
Cu 0.3632 0.0965 0.4035
Te 0.2989 0.8583 0.0937
Cu 0.6368 0.5965 0.9035

VASP energy	-3.203	eV/atom
crystal system	orthorhombic
calculated volume	32.1	A^3/atom
raw formation energy	-0.130	eV per atom


5.
The following is a DFT calculation (PBE) of crystalline ScCuBr2 at its relaxed geometry.

Cell lengths 6.8632, 6.8632, 7.6358 Å; angles 47.35, 47.35, 29.08 degrees
Element x y z (fractional)
Sc 0.7446 0.7446 0.8762
Br 0.1969 0.1969 0.2058
Cu 0.4592 0.4592 0.5595
Br 0.0993 0.0993 0.8585

VASP energy	-4.187	eV/atom
crystal system	monoclinic
calculated volume	31.2	A^3/atom
raw formation energy	-0.744	eV per atom


6.
The following is a DFT calculation (PBE) of crystalline BaSeCl2 at its relaxed geometry.

Cell lengths 4.8305, 4.8305, 6.0201 Å; angles 90.00, 90.00, 90.00 degrees
Element x y z (fractional)
Ba 0.5000 0.5000 0.7083
Se 0.0000 0.0000 0.6017
Cl 0.5000 0.5000 0.2159
Cl 0.0000 0.0000 0.9741

VASP energy	-3.671	eV/atom
crystal system	tetragonal
calculated volume	35.1	A^3/atom
raw formation energy	-1.396	eV per atom


7.
The following is a DFT calculation (PBE) of crystalline Cd2Pd2Pt15 at its relaxed geometry.

Cell lengths 6.9834, 6.9834, 6.9834 Å; angles 83.10, 83.10, 83.10 degrees
Element x y z (fractional)
Pt 0.0000 0.0000 0.5000
Pt 0.0000 0.5000 0.0000
Pt 0.0000 0.3366 0.6634
Pt 0.3366 0.6634 0.0000
Cd 0.8866 0.8866 0.8866
Pt 0.5000 0.0000 0.0000
Pt 0.6642 0.1729 0.6642
Cd 0.1134 0.1134 0.1134
Pt 0.3358 0.3358 0.8271
Pt 0.6642 0.6642 0.1729
Pt 0.6634 0.0000 0.3366
Pt 0.1729 0.6642 0.6642
Pd 0.3908 0.3908 0.3908
Pt 0.0000 0.6634 0.3366
Pt 0.3366 0.0000 0.6634
Pt 0.6634 0.3366 0.0000
Pd 0.6092 0.6092 0.6092
Pt 0.8271 0.3358 0.3358
Pt 0.3358 0.8271 0.3358

ΔE_f	0.062	eV per atom
VASP energy	-5.350	eV/atom
crystal system	trigonal
calculated volume	17.6	A^3/atom


8.
The following is a DFT calculation (PBE) of crystalline CsKRb2Au2 at its relaxed geometry.

Cell lengths 5.5153, 9.1243, 10.9240 Å; angles 90.00, 90.00, 90.00 degrees
Element x y z (fractional)
Au 0.5000 0.2700 0.3820
Cs 0.0000 0.4836 0.5673
Rb 0.0000 0.8599 0.8323
Au 0.5000 0.7700 0.6180
Rb 0.5000 0.0249 0.0931
Au 0.0000 0.2588 0.8464
K 0.5000 0.6484 0.3126
Rb 0.5000 0.5249 0.9069
Rb 0.0000 0.3599 0.1677
Cs 0.0000 0.9836 0.4327
K 0.5000 0.1484 0.6874
Au 0.0000 0.7588 0.1536

ΔE_f	-0.198	eV per atom
VASP energy	-1.938	eV/atom
crystal system	orthorhombic
calculated volume	45.8	A^3/atom


9.
The following is a DFT calculation (PBE) of crystalline RbCuH3 at its relaxed geometry.

Cell lengths 3.5349, 7.3487, 10.6555 Å; angles 90.00, 89.99, 90.00 degrees
Element x y z (fractional)
H 0.9998 0.9369 0.6099
H 0.4998 0.1607 0.5677
H 0.5002 0.6607 0.9323
H 0.0002 0.8542 0.9408
Cu 0.0002 0.8553 0.4453
Cu 0.0002 0.6447 0.9453
H 0.0002 0.6458 0.4408
H 0.0002 0.0631 0.3901
H 0.5002 0.8393 0.4323
H 0.4998 0.3393 0.0677
Rb 0.5000 0.1068 0.8355
Rb 0.5000 0.6068 0.6645
H 0.9998 0.3542 0.5592
H 0.9998 0.1458 0.0592
H 0.0002 0.4369 0.8901
Rb 0.5000 0.8932 0.1645
H 0.9998 0.5631 0.1099
Rb 0.5000 0.3932 0.3355
Cu 0.9998 0.3553 0.0547
Cu 0.9998 0.1447 0.5547

VASP energy	-3.010	eV/atom
crystal system	orthorhombic
calculated volume	13.8	A^3/atom


10.
The following is a DFT calculation (PBE) of crystalline ScCo at its relaxed geometry.

Cell lengths 3.3768, 3.3768, 7.4517 Å; angles 90.00, 90.00, 120.00 degrees
Element x y z (fractional)
Sc 0.0000 0.0000 0.4390
Sc 0.3333 0.6667 0.8110
Co 0.0000 0.0000 0.0496
Co 0.3333 0.6667 0.2004

ΔE_f	0.146	eV per atom
VASP energy	-6.572	eV/atom
crystal system	trigonal
calculated volume	18.4	A^3/atom


11.
The following is a DFT calculation (PBE) of crystalline NaSrAl2In at its relaxed geometry.

Cell lengths 5.2798, 5.3975, 5.2798 Å; angles 90.00, 90.00, 90.00 degrees
Element x y z (fractional)
In 0.0000 0.5000 0.0000
Al 0.0000 0.0000 0.5000
Sr 0.5000 0.5000 0.5000
Al 0.5000 0.0000 0.0000
Na 0.0000 0.0000 0.0000

ΔE_f	0.429	eV per atom
VASP energy	-2.216	eV/atom
crystal system	tetragonal
calculated volume	30.1	A^3/atom


12.
The following is a DFT calculation (PBE) of crystalline ZnNiBr2 at its relaxed geometry.

Cell lengths 3.5257, 3.6539, 7.4783 Å; angles 80.68, 90.00, 90.00 degrees
Element x y z (fractional)
Zn 0.5000 0.7739 0.6616
Ni 0.0000 0.2950 0.5871
Br 0.5000 0.3892 0.3592
Br 0.0000 0.0419 0.8921

VASP energy	-2.805	eV/atom
crystal system	monoclinic
calculated volume	23.8	A^3/atom
raw formation energy	-0.204	eV per atom


13.
The following is a DFT calculation (PBE) of crystalline HfTlSe2N at its relaxed geometry.

Cell lengths 5.3887, 5.3887, 4.0428 Å; angles 90.00, 90.00, 90.00 degrees
Element x y z (fractional)
Se 0.5000 0.0000 0.0000
Se 0.0000 0.5000 0.0000
Hf 0.5000 0.5000 0.5000
Tl 0.0000 0.0000 0.0000
N 0.0000 0.0000 0.5000

VASP energy	-4.417	eV/atom
crystal system	tetragonal
calculated volume	23.5	A^3/atom
raw formation energy	1.106	eV per atom


14.
The following is a DFT calculation (PBE) of crystalline ZrAgAu4 at its relaxed geometry.

Cell lengths 5.4700, 5.4700, 5.4700 Å; angles 60.00, 60.00, 60.00 degrees
Element x y z (fractional)
Au 0.3748 0.3748 0.8755
Zr 0.7500 0.7500 0.7500
Ag 0.0000 0.0000 0.0000
Au 0.3748 0.8755 0.3748
Au 0.3748 0.3748 0.3748
Au 0.8755 0.3748 0.3748

ΔE_f	-0.110	eV per atom
VASP energy	-4.194	eV/atom
crystal system	cubic
calculated volume	19.3	A^3/atom


15.
The following is a DFT calculation (PBE) of crystalline PmSc2Zn2 at its relaxed geometry.

Cell lengths 3.4594, 5.0192, 12.8939 Å; angles 90.00, 97.70, 90.00 degrees
Element x y z (fractional)
Sc 0.9534 0.2500 0.9065
Zn 0.3601 0.2500 0.7199
Sc 0.2338 0.7500 0.4673
Zn 0.6399 0.7500 0.2801
Zn 0.5433 0.2500 0.0868
Pm 0.8555 0.7500 0.7104
Sc 0.0466 0.7500 0.0935
Sc 0.7662 0.2500 0.5327
Pm 0.1445 0.2500 0.2896
Zn 0.4567 0.7500 0.9132

ΔE_f	-0.238	eV per atom
VASP energy	-4.231	eV/atom
crystal system	monoclinic
calculated volume	22.2	A^3/atom


16.
The following is a DFT calculation (PBE) of crystalline Be2TcP at its relaxed geometry.

Cell lengths 3.0702, 3.0711, 4.6335 Å; angles 90.00, 90.00, 90.00 degrees
Element x y z (fractional)
Be 0.0000 0.0000 0.5028
P 0.5000 0.5000 0.2500
Be 0.0000 0.0000 0.9972
Tc 0.5000 0.5000 0.7500

ΔE_f	-0.244	eV per atom
VASP energy	-6.051	eV/atom
crystal system	tetragonal
calculated volume	10.9	A^3/atom


17.
The following is a DFT calculation (PBE) of crystalline SrLiMg2 at its relaxed geometry.

Cell lengths 3.7671, 3.7662, 8.0824 Å; angles 90.00, 90.00, 90.00 degrees
Element x y z (fractional)
Mg 0.0000 0.0000 0.9445
Mg 0.0000 0.0000 0.5555
Sr 0.5000 0.5000 0.2500
Li 0.5000 0.5000 0.7500

ΔE_f	-0.019	eV per atom
VASP energy	-1.716	eV/atom
crystal system	tetragonal
calculated volume	28.7	A^3/atom


18.
The following is a DFT calculation (PBE) of crystalline CoAg4Rh at its relaxed geometry.

Cell lengths 5.3002, 5.3002, 5.3002 Å; angles 60.00, 60.00, 60.00 degrees
Element x y z (fractional)
Ag 0.3750 0.3750 0.3750
Ag 0.3750 0.3750 0.8750
Co 0.7500 0.7500 0.7500
Rh 0.0000 0.0000 0.0000
Ag 0.8750 0.3750 0.3750
Ag 0.3750 0.8750 0.3750

ΔE_f	0.651	eV per atom
VASP energy	-3.660	eV/atom
crystal system	cubic
calculated volume	17.5	A^3/atom


19.
The following is a DFT calculation (PBE) of crystalline AgSnTe2 at its relaxed geometry.

Cell lengths 11.2063, 11.2063, 11.2063 Å; angles 17.56, 17.56, 17.56 degrees
Element x y z (fractional)
Te 0.9027 0.9027 0.9027
Te 0.0973 0.0973 0.0973
Ag 0.5000 0.5000 0.5000
Sn 0.0000 0.0000 0.0000

VASP energy	-3.136	eV/atom
crystal system	trigonal
calculated volume	28.0	A^3/atom
raw formation energy	0.148	eV per atom


20.
The following is a DFT calculation (PBE) of crystalline Th6Te3Ir2Au at its relaxed geometry.

Cell lengths 7.3518, 7.3518, 8.0510 Å; angles 98.79, 98.79, 119.87 degrees
Element x y z (fractional)
Th 0.2814 0.2814 0.7928
Th 0.9295 0.5789 0.7891
Th 0.7186 0.7186 0.2072
Te 0.8392 0.1608 0.5000
Th 0.0705 0.4211 0.2109
Au 0.0000 0.0000 0.0000
Te 0.1608 0.8392 0.5000
Ir 0.3326 0.6674 0.0000
Ir 0.6674 0.3326 0.0000
Th 0.4211 0.0705 0.2109
Te 0.5000 0.5000 0.5000
Th 0.5789 0.9295 0.7891

VASP energy	-7.281	eV/atom
crystal system	monoclinic
calculated volume	29.9	A^3/atom
raw formation energy	-1.036	eV per atom


21.
The following is a DFT calculation (PBE) of crystalline Ga2Fe2Cu at its relaxed geometry.

Cell lengths 6.6214, 6.6214, 3.1149 Å; angles 90.00, 90.00, 90.00 degrees
Element x y z (fractional)
Ga 0.8576 0.6424 0.0000
Ga 0.6424 0.1424 0.0000
Cu 0.5000 0.5000 0.0000
Fe 0.1565 0.6565 0.5000
Fe 0.6565 0.8435 0.5000
Cu 0.0000 0.0000 0.0000
Fe 0.8435 0.3435 0.5000
Fe 0.3435 0.1565 0.5000
Ga 0.3576 0.8576 0.0000
Ga 0.1424 0.3576 0.0000

ΔE_f	0.087	eV per atom
VASP energy	-5.328	eV/atom
crystal system	tetragonal
calculated volume	13.7	A^3/atom


22.
The following is a DFT calculation (PBE) of crystalline Pr6Sn2AsSe3 at its relaxed geometry.

Cell lengths 4.3843, 8.7867, 9.8087 Å; angles 102.76, 102.91, 90.00 degrees
Element x y z (fractional)
Se 0.5000 0.5000 0.0000
Sn 0.1669 0.3333 0.3338
Pr 0.3364 0.4120 0.6728
Se 0.8337 0.1654 0.6674
As 0.5000 0.0000 0.0000
Pr 0.9995 0.2414 0.9989
Pr 0.0005 0.7586 0.0011
Pr 0.6635 0.0768 0.3270
Pr 0.3365 0.9232 0.6730
Sn 0.8331 0.6667 0.6662
Se 0.1663 0.8346 0.3326
Pr 0.6636 0.5880 0.3272

VASP energy	-5.744	eV/atom
crystal system	monoclinic
calculated volume	29.9	A^3/atom
raw formation energy	-1.428	eV per atom


23.
The following is a DFT calculation (PBE) of crystalline Cd3BiPt12 at its relaxed geometry.

Cell lengths 4.0597, 4.0597, 16.3745 Å; angles 90.00, 90.00, 90.00 degrees
Element x y z (fractional)
Pt 0.5000 0.5000 0.5000
Pt 0.5000 0.5000 0.2538
Pt 0.5000 0.0000 0.3774
Pt 0.0000 0.5000 0.3774
Pt 0.5000 0.5000 0.0000
Pt 0.0000 0.5000 0.1317
Pt 0.5000 0.0000 0.6226
Pt 0.5000 0.0000 0.1317
Pt 0.0000 0.5000 0.8683
Cd 0.0000 0.0000 0.5000
Pt 0.5000 0.0000 0.8683
Pt 0.0000 0.5000 0.6226
Pt 0.5000 0.5000 0.7462
Bi 0.0000 0.0000 0.0000
Cd 0.0000 0.0000 0.2556
Cd 0.0000 0.0000 0.7444

ΔE_f	-0.168	eV per atom
VASP energy	-5.113	eV/atom
crystal system	tetragonal
calculated volume	16.9	A^3/atom


24.
The following is a DFT calculation (PBE) of crystalline CSeI3 at its relaxed geometry.

Cell lengths 5.7313, 5.7313, 5.7313 Å; angles 90.00, 90.00, 90.00 degrees
Element x y z (fractional)
I 0.5000 0.0000 0.0000
Se 0.0000 0.0000 0.0000
I 0.0000 0.0000 0.5000
I 0.0000 0.5000 0.0000
C 0.5000 0.5000 0.5000

VASP energy	-1.847	eV/atom
crystal system	cubic
calculated volume	37.7	A^3/atom
raw formation energy	1.625	eV per atom